Mn2CoAs | PBEsol | relaxed

Cell lengths 2.803, 2.803, 5.679 Å; angles 90.00, 90.00, 90.00 degrees
Last column: magnetic moment on the atom in μB.
Element x y z (fractional)
1 Mn 0.000 0.000 0.245  0.27
2 Co 0.500 0.500 0.500  1.10
3 As 0.500 0.500 0.000  -0.02
4 Mn 0.000 0.000 0.755  0.27

Results
formation energy	0.1562	eV per atom
volume	11.16	Å³ per atom
crystal system	tetragonal
calculated density	9.07	g cm⁻³
Fermi-level density of states	1.11	states/eV/atom